This record from Alexandria describes a geometry-optimized Sr2LiRhO4 structure. The functional is GGA-PBE.

- energy (eV/atom) = -5.712
- total moment (μB per atom) = 0.000
- formation energy without anion corrections (eV per atom) = -1.654

The structure in POSCAR format:
```
Sr2LiRhO4
1.0
4.591 0.000 0.000
2.296 5.975 0.000
2.296 0.000 8.857
Sr Li Rh O
4 2 2 8
Direct
0.177 0.000 0.646
0.823 0.000 0.354
0.573 0.500 0.854
0.927 0.500 0.146
0.250 0.500 0.500
0.500 0.000 0.000
0.750 0.500 0.500
0.000 0.000 0.000
0.286 0.749 0.095
0.130 0.251 0.905
0.965 0.749 0.905
0.619 0.251 0.095
0.464 0.751 0.405
0.620 0.249 0.595
0.785 0.751 0.595
0.131 0.249 0.405
```